{
  "formula": "LaZr",
  "functional": "meta-GGA SCAN",
  "state": "PBEsol geometry",
  "dos_at_fermi_per_ev_cell": 4.548,
  "de_polymorph_mev_per_atom": 71.9,
  "e_tot_ry_per_atom": -2.695,
  "total_magnetization_mub_per_fu": 0.000,
  "formation_enthalpy_0k_mev_per_atom": 233,
  "lattice": [[3.383, 0.000, 0.000], [0.000, 5.544, 0.000], [-1.691, -2.772, 5.711]],
  "species": ["La", "La", "Zr", "Zr"],
  "fractional_positions": [[0.378, 0.128, 0.756], [0.622, 0.872, 0.244], [0.860, 0.610, 0.721], [0.140, 0.390, 0.279]]
}